(1)
SrAl2Cl8 after structural relaxation. Source: Alexandria, functional PBE.

Calculated volume   32.5 Å³/atom
Total magnetic moment   0.0 μB/f.u.
Space group   I4_1/acd (142)
Uncorrected formation energy   -1.8252 eV per atom

a = 11.7434 Å, b = 13.2905 Å, c = 11.7434 Å
α = 63.78°, β = 90.00°, γ = 116.22°
Sites, in units of the cell vectors:
Cl 0.4826 0.7717 0.2515
Cl 0.5377 0.5772 0.6462
Cl 0.9608 0.7283 0.9985
Cl 0.2105 0.9228 0.6038
Cl 0.4734 0.0772 0.2105
Cl 0.2123 0.9228 0.1038
Cl 0.0395 0.5772 0.7766
Cl 0.6038 0.0772 0.7123
Cl 0.2732 0.2717 0.9608
Cl 0.9734 0.0772 0.2123
Cl 0.6462 0.4228 0.0395
Cl 0.2892 0.7717 0.9768
Cl 0.1462 0.4228 0.0377
Cl 0.7123 0.9228 0.4734
Cl 0.7105 0.9228 0.9734
Cl 0.9826 0.7717 0.4768
Cl 0.2515 0.2283 0.2892
Cl 0.7674 0.7283 0.2732
Cl 0.5395 0.5772 0.1462
Cl 0.2766 0.4228 0.5395
Cl 0.7766 0.4228 0.5377
Cl 0.7732 0.2717 0.2674
Cl 0.4768 0.2283 0.7892
Cl 0.4985 0.2717 0.4608
Cl 0.7892 0.7717 0.7515
Cl 0.0377 0.5772 0.2766
Cl 0.7515 0.2283 0.9826
Cl 0.9768 0.2283 0.4826
Cl 0.4608 0.7283 0.7732
Cl 0.2674 0.7283 0.4985
Cl 0.1038 0.0772 0.7105
Cl 0.9985 0.2717 0.7674
Al 0.6620 0.2500 0.1250
Al 0.1620 0.2500 0.1250
Al 0.6250 0.7500 0.6620
Al 0.6250 0.7500 0.1620
Al 0.1250 0.7500 0.0880
Al 0.0880 0.2500 0.6250
Al 0.5880 0.2500 0.6250
Al 0.1250 0.7500 0.5880
Sr 0.5000 0.0000 0.0000
Sr 0.7500 0.5000 0.2500
Sr 0.2500 0.5000 0.7500
Sr 0.0000 0.0000 0.5000


(2)
SrAlCl4 after structural relaxation. Source: Alexandria, functional PBE.

Calculated volume   26.7 Å³/atom
Total magnetic moment   1.0 μB/f.u.
Space group   F-43m (216)
Uncorrected formation energy   -0.4895 eV per atom

a = 6.0954 Å, b = 6.0954 Å, c = 6.0954 Å
α = 60.00°, β = 60.00°, γ = 60.00°
Last column: magnetic moment on the atom in μB.
Sites, in units of the cell vectors:
Sr 0.7500 0.7500 0.7500  0.00
Cl 0.3751 0.3751 0.3751  0.22
Cl 0.3751 0.3751 0.8746  0.22
Cl 0.3751 0.8746 0.3751  0.22
Cl 0.8746 0.3751 0.3751  0.22
Al 0.0000 0.0000 0.0000  0.00


(3)
SrAl2Cl after structural relaxation. Source: Alexandria, functional PBE.

Calculated volume   26.8 Å³/atom
Total magnetic moment   0.0 μB/f.u.
Space group   C2/m (12)
Uncorrected formation energy   -0.5663 eV per atom

a = 6.9621 Å, b = 6.9621 Å, c = 4.3959 Å
α = 85.96°, β = 85.96°, γ = 30.32°
Sites, in units of the cell vectors:
Cl 0.2500 0.2500 0.2500
Al 0.0059 0.0059 0.9838
Al 0.4941 0.4941 0.5162
Sr 0.7500 0.7500 0.7500


(4)
SrAl2Cl after structural relaxation. Source: Alexandria, functional PBE.

Calculated volume   26.0 Å³/atom
Total magnetic moment   0.0 μB/f.u.
Space group   Cmmm (65)
Uncorrected formation energy   0.0500 eV per atom

a = 3.4560 Å, b = 3.4560 Å, c = 9.3331 Å
α = 90.00°, β = 90.00°, γ = 111.19°
Sites, in units of the cell vectors:
Al 0.0000 0.0000 0.4725
Al 0.0000 0.0000 0.0275
Sr 0.5000 0.5000 0.7500
Cl 0.5000 0.5000 0.2500


(5)
Sr2AlCl after structural relaxation. Source: Alexandria, functional PBE.

Calculated volume   33.9 Å³/atom
Total magnetic moment   0.0 μB/f.u.
Space group   Imm2 (44)
Uncorrected formation energy   -0.7781 eV per atom

a = 8.9320 Å, b = 8.9320 Å, c = 8.9320 Å
α = 154.69°, β = 153.55°, γ = 36.94°
Sites, in units of the cell vectors:
Cl 0.7928 0.2928 0.5000
Sr 0.9535 0.9535 0.0000
Sr 0.2008 0.7008 0.5000
Al 0.5529 0.5529 0.0000


(6)
Sr2AlCl after structural relaxation. Source: Alexandria, functional PBE.

Calculated volume   33.3 Å³/atom
Total magnetic moment   0.0 μB/f.u.
Space group   P4mm (99)
Uncorrected formation energy   -0.8617 eV per atom

a = 5.8979 Å, b = 3.8234 Å, c = 5.8981 Å
α = 89.97°, β = 90.00°, γ = 90.00°
Sites, in units of the cell vectors:
Sr 0.5000 0.9998 0.3750
Sr 0.0000 0.0015 0.8751
Al 0.0000 0.5007 0.3749
Cl 0.5000 0.9979 0.8750


- Among the records above, which one has the lowest calculated volume?
  number 4


- The highest calculated volume belongs to which entry?
  number 5


- Number 5 is which compound?
  Sr2AlCl


- Look up the uncorrected formation energy of the third one.
  -0.5663 eV per atom